Below is an optimized crystal structure of Sm12Ni6Ge, with properties calculated at the GGA-PBE level.

Calculated values
Its space-group type is Im-3. The formation energy comes out at -311 meV per atom. The total energy comes out at -101.85 eV for the cell shown.

Lattice parameters (Å, degrees): 8.5454 8.5454 8.5454 109.47 109.47 109.47
Sites, in units of the cell vectors:
Sm 0.1172 0.8141 0.3031
Sm 0.1859 0.3031 0.4890
Sm 0.1859 0.6969 0.8828
Sm 0.3031 0.1172 0.8141
Sm 0.3031 0.4890 0.1859
Sm 0.4890 0.1859 0.3031
Sm 0.5110 0.8141 0.6969
Sm 0.6969 0.5110 0.8141
Sm 0.6969 0.8828 0.1859
Sm 0.8141 0.3031 0.1172
Sm 0.8141 0.6969 0.5110
Sm 0.8828 0.1859 0.6969
Ni 0.1233 0.6233 0.5000
Ni 0.3767 0.5000 0.8767
Ni 0.5000 0.1233 0.6233
Ni 0.5000 0.8767 0.3767
Ni 0.6233 0.5000 0.1233
Ni 0.8767 0.3767 0.5000
Ge 0.0000 0.0000 0.0000